Entry from Alexandria: an optimized crystal structure of PmTmCuRh (PBE).

Output
E above lowest polymorph, meV per atom: 27
Space group: No. 216
Formation enthalpy at 0 K, eV per atom: -0.520

Cell: 4.916 4.916 4.916 Å, 60.00 60.00 60.00°
Element x y z (fractional)
Tm 0.500 0.500 0.500
Cu 0.250 0.250 0.250
Pm 0.000 0.000 0.000
Rh 0.750 0.750 0.750



Entry from Alexandria: an optimized crystal structure of Pm2UCuRh6 (PBE).

Output
Space group: No. 225
Formation enthalpy at 0 K, eV per atom: -0.082

Cell: 6.681 6.681 6.681 Å, 60.00 60.00 90.00°
Element x y z (fractional)
Rh 0.248 0.248 0.504
Rh 0.752 0.752 0.496
Pm 0.250 0.750 0.500
Rh 0.752 0.752 0.000
Pm 0.750 0.250 0.500
U 0.500 0.500 0.000
Rh 0.248 0.248 0.000
Rh 0.248 0.752 0.000
Cu 0.000 0.000 0.000
Rh 0.752 0.248 0.000



Entry from Alexandria: an optimized crystal structure of PmYCuRh (PBE).

Output
E above lowest polymorph, meV per atom: 0
Space group: No. 38
Formation enthalpy at 0 K, eV per atom: -0.524

Cell: 3.852 4.431 5.589 Å, 90.00 110.16 90.00°
Element x y z (fractional)
Rh 0.420 0.000 0.841
Y 0.864 0.500 0.727
Cu 0.574 0.500 0.148
Pm 0.142 0.000 0.284